Entry 1:
Here is InTeSN2 after structural relaxation from the Alexandria database. Energies are from GGA-PBE.

abc: 4.256 4.256 5.596
angles: 90.00 90.00 90.00
Each line ends with the local moment (μB).
Atoms (fractional coordinates):
N 0.000 0.500 0.000  1.14
Te 0.500 0.500 0.500  0.20
N 0.500 0.000 0.000  1.14
In 0.000 0.000 0.000  -0.01
S 0.000 0.000 0.500  0.03

## Properties
The value obtained for the total magnetization is 3.7 μB per formula unit. The value obtained for the total DFT energy (no corrections) is -19.4 eV/f.u.

***

Entry 2:
Here is InTe2SN after structural relaxation from the Alexandria database. Energies are from GGA-PBE.

abc: 5.803 5.803 4.013
angles: 90.00 90.00 90.00
Each line ends with the local moment (μB).
Atoms (fractional coordinates):
In 0.000 0.000 0.000  -0.02
Te 0.500 0.000 0.000  0.12
S 0.500 0.500 0.500  -0.12
Te 0.000 0.500 0.000  0.12
N 0.000 0.000 0.500  0.82

## Properties
The value obtained for the total magnetization is 1.4 μB per formula unit. The value obtained for the total DFT energy (no corrections) is -15.6 eV/f.u.

***

Entry 3:
Here is InTeSN2 after structural relaxation from the Alexandria database. Energies are from GGA-PBE.

abc: 4.181 4.181 6.979
angles: 90.00 90.00 90.00
Each line ends with the local moment (μB).
Atoms (fractional coordinates):
S 0.500 0.500 0.500  0.06
N 0.000 0.500 0.000  1.12
N 0.500 0.000 0.000  1.12
Te 0.000 0.000 0.500  0.12
In 0.000 0.000 0.000  -0.02

## Properties
The value obtained for the total magnetization is 3.6 μB per formula unit. The value obtained for the total DFT energy (no corrections) is -19.0 eV/f.u.

***

Entry 4:
Here is InTe2SN after structural relaxation from the Alexandria database. Energies are from GGA-PBE.

abc: 6.215 6.215 3.257
angles: 90.00 90.00 90.00
Atoms (fractional coordinates):
Te 0.500 0.000 0.000
Te 0.000 0.500 0.000
In 0.500 0.500 0.500
S 0.000 0.000 0.000
N 0.000 0.000 0.500

## Properties
The value obtained for the total magnetization is 0.0 μB per formula unit. The value obtained for the total DFT energy (no corrections) is -18.4 eV/f.u.

***

Entry 5:
Here is VInS2N after structural relaxation from the Alexandria database. Energies are from GGA-PBE.

abc: 5.115 5.115 4.065
angles: 90.00 90.00 90.00
Each line ends with the local moment (μB).
Atoms (fractional coordinates):
S 0.000 0.500 0.000  -0.03
S 0.500 0.000 0.000  -0.03
N 0.000 0.000 0.500  1.01
In 0.000 0.000 0.000  -0.01
V 0.500 0.500 0.500  2.79

## Properties
The value obtained for the total magnetization is 4.6 μB per formula unit. The value obtained for the total DFT energy (no corrections) is -23.4 eV/f.u.

***

Entry 6:
Here is InWSN2 after structural relaxation from the Alexandria database. Energies are from GGA-PBE.

abc: 3.959 3.959 5.031
angles: 90.00 90.00 90.00
Atoms (fractional coordinates):
N 0.500 0.000 0.000
W 0.000 0.000 0.000
In 0.500 0.500 0.500
S 0.000 0.000 0.500
N 0.000 0.500 0.000

## Properties
The value obtained for the total magnetization is 0.0 μB per formula unit. The value obtained for the total DFT energy (no corrections) is -35.7 eV/f.u.

***

Entry 7:
Here is InWS2N after structural relaxation from the Alexandria database. Energies are from GGA-PBE.

abc: 4.923 4.923 3.875
angles: 90.00 90.00 90.00
Atoms (fractional coordinates):
N 0.000 0.000 0.500
S 0.500 0.000 0.000
S 0.000 0.500 0.000
W 0.000 0.000 0.000
In 0.500 0.500 0.500

## Properties
The value obtained for the total magnetization is 0.0 μB per formula unit. The value obtained for the total DFT energy (no corrections) is -32.6 eV/f.u.

***

Entry 8:
Here is InWSN2 after structural relaxation from the Alexandria database. Energies are from GGA-PBE.

abc: 4.106 4.106 5.124
angles: 90.00 90.00 90.00
Each line ends with the local moment (μB).
Atoms (fractional coordinates):
N 0.000 0.500 0.000  -0.79
S 0.000 0.000 0.500  -0.13
In 0.000 0.000 0.000  -0.01
W 0.500 0.500 0.500  2.80
N 0.500 0.000 0.000  -0.79

## Properties
The value obtained for the total magnetization is 1.2 μB per formula unit. The value obtained for the total DFT energy (no corrections) is -26.3 eV/f.u.

***

Entry 9:
Here is InWS2N after structural relaxation from the Alexandria database. Energies are from GGA-PBE.

abc: 5.092 5.092 3.985
angles: 90.00 90.00 90.00
Each line ends with the local moment (μB).
Atoms (fractional coordinates):
S 0.500 0.000 0.000  -0.04
In 0.000 0.000 0.000  0.00
W 0.500 0.500 0.500  2.90
S 0.000 0.500 0.000  -0.04
N 0.000 0.000 0.500  0.94

## Properties
The value obtained for the total magnetization is 5.1 μB per formula unit. The value obtained for the total DFT energy (no corrections) is -23.9 eV/f.u.

***

Entry 10:
Here is YInSN2 after structural relaxation from the Alexandria database. Energies are from GGA-PBE.

abc: 4.587 4.587 5.432
angles: 90.00 90.00 90.00
Each line ends with the local moment (μB).
Atoms (fractional coordinates):
S 0.000 0.000 0.500  0.21
In 0.500 0.500 0.500  0.04
N 0.500 0.000 0.000  1.10
Y 0.000 0.000 0.000  0.01
N 0.000 0.500 0.000  1.10

## Properties
The value obtained for the total magnetization is 3.7 μB per formula unit. The value obtained for the total DFT energy (no corrections) is -27.4 eV/f.u.

***

Entry 11:
Here is YInSN2 after structural relaxation from the Alexandria database. Energies are from GGA-PBE.

abc: 4.190 4.190 5.266
angles: 90.00 90.00 90.00
Atoms (fractional coordinates):
Y 0.500 0.500 0.500
In 0.000 0.000 0.000
N 0.000 0.500 0.000
N 0.500 0.000 0.000
S 0.000 0.000 0.500

## Properties
The value obtained for the total magnetization is 0.0 μB per formula unit. The value obtained for the total DFT energy (no corrections) is -28.0 eV/f.u.

***

Entry 12:
Here is ZrInS2N after structural relaxation from the Alexandria database. Energies are from GGA-PBE.

abc: 5.007 5.007 4.015
angles: 90.00 90.00 90.00
Each line ends with the local moment (μB).
Atoms (fractional coordinates):
Zr 0.500 0.500 0.500  -0.78
In 0.000 0.000 0.000  0.00
S 0.500 0.000 0.000  0.09
S 0.000 0.500 0.000  0.09
N 0.000 0.000 0.500  0.64

## Properties
The value obtained for the total magnetization is 0.1 μB per formula unit. The value obtained for the total DFT energy (no corrections) is -25.3 eV/f.u.

***

Number 1: calculated density 4.95 g/cm3, volume 101.4 Å³/cell. Number 2: calculated density 5.11 g/cm3, volume 135.1 Å³/cell. Number 3: calculated density 4.12 g/cm3, volume 122.0 Å³/cell. Number 4: calculated density 5.49 g/cm3, volume 125.8 Å³/cell. Number 5: calculated density 3.81 g/cm3, volume 106.3 Å³/cell. Number 6: calculated density 7.55 g/cm3, volume 78.9 Å³/cell. Number 7: calculated density 6.66 g/cm3, volume 93.9 Å³/cell. Number 8: calculated density 6.90 g/cm3, volume 86.4 Å³/cell. Number 9: calculated density 6.05 g/cm3, volume 103.3 Å³/cell. Number 10: calculated density 3.83 g/cm3, volume 114.3 Å³/cell. Number 11: calculated density 4.74 g/cm3, volume 92.4 Å³/cell. Number 12: calculated density 4.69 g/cm3, volume 100.7 Å³/cell.